Cr3PbF | GGA+U | relaxed

Lattice parameters (Å, degrees): 5.383 5.383 5.383 90.00 90.00 90.00
Fractional coordinates of all 5 atoms:
Cr: 0.000 0.000 0.500
Cr: 0.000 0.500 0.000
Cr: 0.500 0.000 0.000
Pb: 0.000 0.000 0.000
F: 0.500 0.500 0.500

E above lowest polymorph: 806 meV per atom